DFT (PBE) results for crystalline Mg2Sc2As at its relaxed geometry.

a b c (Å): 6.996 6.996 4.970
angles (deg): 90.00 90.00 90.00
Fractional coordinates of all 10 atoms:
Mg (0.647, 0.853, 0.500)
Mg (0.147, 0.647, 0.500)
Mg (0.853, 0.353, 0.500)
Mg (0.353, 0.147, 0.500)
Sc (0.660, 0.160, 0.000)
Sc (0.160, 0.340, 0.000)
Sc (0.340, 0.840, 0.000)
Sc (0.840, 0.660, 0.000)
As (0.000, 0.000, 0.000)
As (0.500, 0.500, 0.000)

Calculated values
Formation energy from the elements (eV/atom): -0.30
Crystal system: tetragonal
Magnetization (μB/cell): 0.00
Symmetry: P4/mbm